Entry from Alexandria: crystalline Ac3HgO4 at its relaxed geometry (PBE-GGA).

Structure (extended XYZ):
```
8
Lattice="4.302 0.000 0.000 0.000 4.302 0.000 0.000 0.000 9.997" Properties=species:S:1:pos:R:3 pbc="T T T"
O 0.000 2.151 8.453
O 0.000 2.151 1.543
Ac 2.151 2.151 2.606
Ac 2.151 2.151 7.391
Hg 0.000 0.000 4.998
O 2.151 0.000 1.543
Ac 0.000 0.000 0.000
O 2.151 0.000 8.453
```

Properties
The value obtained for the size of the total moment is 0.01 Bohr magnetons per cell. The total energy comes out at -0.2528 Ha/atom. The uncorrected formation energy comes out at -2821 meV per atom. Its space-group type is P4/mmm.


Entry from Alexandria: crystalline AcHgO3 at its relaxed geometry (PBE-GGA).

Structure (extended XYZ):
```
10
Lattice="4.383 0.000 0.002 0.000 5.667 0.000 2.188 0.000 6.697" Properties=species:S:1:pos:R:3 pbc="T T T"
O 1.573 1.782 3.788
O 3.764 3.901 3.537
O 1.573 5.333 1.753
Ac 3.762 3.771 6.361
Ac 3.765 0.937 2.920
Hg 1.573 3.789 3.180
O 5.955 4.615 5.493
O 3.763 1.068 5.745
O 3.765 2.500 0.831
Hg 5.954 0.956 6.101
```

Properties
The value obtained for the size of the total moment is 0.00 Bohr magnetons per cell. The total energy comes out at -0.2024 Ha/atom. The uncorrected formation energy comes out at -1650 meV per atom. Its space-group type is Cmc2_1.


Entry from Alexandria: crystalline AcHgOs2O7 at its relaxed geometry (PBE-GGA).

Structure (extended XYZ):
```
11
Lattice="-1.928 1.231 3.191 -2.806 -2.663 -0.668 5.675 -7.574 6.352" Properties=species:S:1:pos:R:3 pbc="T T T"
O -0.394 -3.349 3.469
O 3.799 -5.741 6.927
O -2.367 -0.716 1.261
Os 2.206 -6.819 6.380
O 1.335 -5.657 5.406
Ac 0.000 0.000 0.000
Os -1.265 -2.187 2.495
O 3.360 -7.689 4.997
Hg 2.838 -3.787 3.176
O -0.491 -2.549 0.687
O -0.052 -0.601 2.616
```

Properties
The value obtained for the size of the total moment is 2.87 Bohr magnetons per cell. The total energy comes out at -0.2535 Ha/atom. The uncorrected formation energy comes out at -1301 meV per atom. Its space-group type is P4/mmm.